[1]
## Hf31ZnO64 (GGA-PBE)

Data for a relaxed Hf31ZnO64 crystal.

Results
Distance to the lowest polymorph of the same formula: 0.026 eV/atom

Cell and atoms, written as CIF:
```
data_Hf31ZnO64
_chemical_formula_sum 'Hf31 Zn1 O64'
_space_group_name_H-M_alt 'P 1'
_space_group_IT_number 1
_space_group_name_Hall 'P 1'
_cell_length_a 10.030
_cell_length_b 10.079
_cell_length_c 10.432
_cell_angle_alpha 89.88
_cell_angle_beta 89.96
_cell_angle_gamma 89.82
loop_
_atom_site_label
_atom_site_fract_x
_atom_site_fract_y
_atom_site_fract_z
Hf1 0.000 0.000 0.000
Hf2 0.000 0.000 0.503
Hf3 0.001 0.247 0.719
Hf4 0.002 0.755 0.719
Hf5 0.228 0.751 0.470
Hf6 0.229 0.001 0.251
Hf7 0.229 0.249 0.471
Hf8 0.229 0.754 0.966
Hf9 0.230 0.251 0.970
Hf10 0.230 0.499 0.753
Hf11 0.230 0.501 0.253
Hf12 0.494 0.755 0.720
Hf13 0.495 0.004 0.503
Hf14 0.497 0.503 0.502
Hf15 0.498 0.252 0.220
Hf16 0.498 0.751 0.219
Hf17 0.499 0.003 0.001
Hf18 0.499 0.504 0.002
Hf19 0.500 0.255 0.719
Hf20 0.729 0.003 0.752
Hf21 0.730 0.001 0.252
Hf22 0.730 0.502 0.252
Hf23 0.730 0.752 0.470
Hf24 0.730 0.753 0.968
Hf25 0.731 0.252 0.470
Hf26 0.731 0.253 0.968
Hf27 0.732 0.505 0.751
Hf28 0.998 0.251 0.219
Hf29 0.998 0.500 0.504
Hf30 0.998 0.502 0.003
Hf31 0.998 0.751 0.219
Zn1 0.242 0.016 0.756
O1 0.087 0.875 0.858
O2 0.092 0.128 0.869
O3 0.092 0.376 0.855
O4 0.092 0.626 0.368
O5 0.093 0.126 0.367
O6 0.094 0.376 0.354
O7 0.094 0.626 0.867
O8 0.094 0.877 0.349
O9 0.124 0.868 0.594
O10 0.134 0.127 0.118
O11 0.134 0.627 0.118
O12 0.135 0.374 0.605
O13 0.135 0.377 0.104
O14 0.135 0.623 0.618
O15 0.136 0.122 0.617
O16 0.136 0.877 0.104
O17 0.328 0.433 0.421
O18 0.328 0.435 0.923
O19 0.328 0.680 0.802
O20 0.328 0.682 0.300
O21 0.328 0.933 0.419
O22 0.329 0.182 0.302
O23 0.329 0.201 0.803
O24 0.330 0.932 0.921
O25 0.399 0.684 0.551
O26 0.399 0.933 0.169
O27 0.399 0.934 0.670
O28 0.400 0.182 0.053
O29 0.400 0.433 0.170
O30 0.400 0.685 0.051
O31 0.401 0.437 0.670
O32 0.402 0.186 0.551
O33 0.592 0.129 0.868
O34 0.592 0.878 0.353
O35 0.594 0.127 0.368
O36 0.594 0.377 0.353
O37 0.594 0.380 0.853
O38 0.594 0.628 0.369
O39 0.594 0.629 0.869
O40 0.594 0.879 0.852
O41 0.632 0.879 0.602
O42 0.633 0.630 0.619
O43 0.634 0.877 0.103
O44 0.635 0.378 0.103
O45 0.635 0.628 0.119
O46 0.636 0.128 0.118
O47 0.636 0.129 0.617
O48 0.636 0.379 0.602
O49 0.826 0.935 0.920
O50 0.828 0.182 0.301
O51 0.828 0.184 0.801
O52 0.828 0.435 0.920
O53 0.828 0.683 0.302
O54 0.828 0.932 0.419
O55 0.829 0.432 0.419
O56 0.829 0.685 0.801
O57 0.896 0.932 0.669
O58 0.897 0.679 0.553
O59 0.899 0.683 0.052
O60 0.899 0.933 0.169
O61 0.900 0.431 0.670
O62 0.900 0.433 0.170
O63 0.901 0.183 0.552
O64 0.901 0.185 0.051
```

***

[2]
## Hf31ZnO64 (GGA-PBE)

Data for a relaxed Hf31ZnO64 crystal.

Results
Distance to the lowest polymorph of the same formula: 0.023 eV/atom

Cell and atoms, written as CIF:
```
data_Hf31ZnO64
_chemical_formula_sum 'Hf31 Zn1 O64'
_space_group_name_H-M_alt 'P 1'
_space_group_IT_number 1
_space_group_name_Hall 'P 1'
_cell_length_a 9.979
_cell_length_b 10.085
_cell_length_c 10.417
_cell_angle_alpha 89.92
_cell_angle_beta 90.00
_cell_angle_gamma 89.88
loop_
_atom_site_label
_atom_site_fract_x
_atom_site_fract_y
_atom_site_fract_z
Hf1 0.000 0.000 0.000
Hf2 0.000 0.000 0.501
Hf3 0.000 0.750 0.785
Hf4 0.000 0.751 0.286
Hf5 0.001 0.501 0.002
Hf6 0.229 0.245 0.036
Hf7 0.229 0.246 0.536
Hf8 0.230 0.496 0.251
Hf9 0.231 0.496 0.750
Hf10 0.231 0.745 0.535
Hf11 0.231 0.746 0.036
Hf12 0.231 0.995 0.750
Hf13 0.231 0.996 0.251
Hf14 0.500 0.245 0.785
Hf15 0.500 0.746 0.786
Hf16 0.500 0.995 0.000
Hf17 0.500 0.996 0.500
Hf18 0.501 0.247 0.285
Hf19 0.501 0.496 0.001
Hf20 0.501 0.497 0.499
Hf21 0.502 0.742 0.286
Hf22 0.727 0.500 0.750
Hf23 0.729 0.750 0.536
Hf24 0.730 0.000 0.750
Hf25 0.730 0.251 0.037
Hf26 0.730 0.251 0.533
Hf27 0.730 0.747 0.037
Hf28 0.730 0.998 0.250
Hf29 0.998 0.250 0.285
Hf30 0.998 0.502 0.500
Hf31 0.999 0.249 0.786
Zn1 0.739 0.511 0.256
O1 0.090 0.372 0.638
O2 0.091 0.122 0.649
O3 0.091 0.372 0.138
O4 0.091 0.622 0.149
O5 0.091 0.622 0.649
O6 0.092 0.121 0.148
O7 0.092 0.872 0.137
O8 0.092 0.872 0.637
O9 0.136 0.375 0.398
O10 0.137 0.374 0.899
O11 0.138 0.125 0.387
O12 0.138 0.624 0.388
O13 0.139 0.124 0.887
O14 0.139 0.624 0.887
O15 0.139 0.874 0.899
O16 0.139 0.875 0.399
O17 0.323 0.309 0.206
O18 0.324 0.309 0.705
O19 0.325 0.059 0.080
O20 0.325 0.060 0.580
O21 0.325 0.559 0.081
O22 0.325 0.559 0.581
O23 0.325 0.809 0.705
O24 0.326 0.809 0.206
O25 0.403 0.311 0.454
O26 0.403 0.560 0.331
O27 0.404 0.309 0.954
O28 0.405 0.060 0.331
O29 0.405 0.560 0.831
O30 0.405 0.809 0.955
O31 0.405 0.810 0.455
O32 0.406 0.059 0.830
O33 0.583 0.368 0.141
O34 0.591 0.374 0.647
O35 0.591 0.621 0.139
O36 0.591 0.624 0.640
O37 0.591 0.872 0.148
O38 0.591 0.874 0.649
O39 0.592 0.122 0.138
O40 0.592 0.125 0.636
O41 0.636 0.372 0.386
O42 0.636 0.624 0.403
O43 0.638 0.122 0.899
O44 0.638 0.371 0.885
O45 0.638 0.621 0.899
O46 0.639 0.121 0.398
O47 0.639 0.871 0.887
O48 0.639 0.872 0.387
O49 0.824 0.187 0.705
O50 0.824 0.435 0.077
O51 0.825 0.184 0.204
O52 0.825 0.437 0.581
O53 0.825 0.685 0.706
O54 0.825 0.936 0.080
O55 0.825 0.937 0.581
O56 0.826 0.697 0.205
O57 0.902 0.436 0.833
O58 0.905 0.186 0.955
O59 0.905 0.187 0.455
O60 0.905 0.688 0.456
O61 0.905 0.937 0.830
O62 0.906 0.687 0.955
O63 0.906 0.939 0.331
O64 0.907 0.436 0.330
```

***

[3]
## Hf2Zn2O5 (GGA-PBE)

Data for a relaxed Hf2Zn2O5 crystal.

Results
Distance to the lowest polymorph of the same formula: 0.000 eV/atom

Cell and atoms, written as CIF:
```
data_Hf2Zn2O5
_chemical_formula_sum 'Hf2 Zn2 O5'
_space_group_name_H-M_alt 'P 1'
_space_group_IT_number 1
_space_group_name_Hall 'P 1'
_cell_length_a 3.840
_cell_length_b 3.840
_cell_length_c 8.027
_cell_angle_alpha 90.00
_cell_angle_beta 90.00
_cell_angle_gamma 90.00
loop_
_atom_site_label
_atom_site_fract_x
_atom_site_fract_y
_atom_site_fract_z
Hf1 0.000 0.000 0.246
Hf2 0.000 0.000 0.754
Zn1 0.500 0.500 0.000
Zn2 0.500 0.500 0.500
O1 0.000 0.000 0.000
O2 0.000 0.500 0.333
O3 0.000 0.500 0.667
O4 0.500 0.000 0.333
O5 0.500 0.000 0.667
```

***

[4]
## Hf31ZrO64 (GGA-PBE)

Data for a relaxed Hf31ZrO64 crystal.

Results
Distance to the lowest polymorph of the same formula: 0.026 eV/atom

Cell and atoms, written as CIF:
```
data_Hf31ZrO64
_chemical_formula_sum 'Hf31 Zr1 O64'
_space_group_name_H-M_alt 'P 1'
_space_group_IT_number 1
_space_group_name_Hall 'P 1'
_cell_length_a 10.031
_cell_length_b 10.079
_cell_length_c 10.450
_cell_angle_alpha 89.99
_cell_angle_beta 90.00
_cell_angle_gamma 89.98
loop_
_atom_site_label
_atom_site_fract_x
_atom_site_fract_y
_atom_site_fract_z
Hf1 0.000 0.000 0.000
Hf2 0.000 0.000 0.499
Hf3 0.000 0.250 0.217
Hf4 0.000 0.250 0.717
Hf5 0.000 0.499 0.499
Hf6 0.000 0.500 0.000
Hf7 0.000 0.750 0.217
Hf8 0.267 0.000 0.250
Hf9 0.267 0.250 0.467
Hf10 0.267 0.250 0.967
Hf11 0.267 0.500 0.250
Hf12 0.268 0.001 0.750
Hf13 0.268 0.500 0.750
Hf14 0.268 0.750 0.466
Hf15 0.268 0.750 0.967
Hf16 0.500 0.000 0.000
Hf17 0.500 0.000 0.500
Hf18 0.500 0.250 0.217
Hf19 0.500 0.250 0.717
Hf20 0.500 0.500 0.000
Hf21 0.500 0.500 0.500
Hf22 0.500 0.750 0.217
Hf23 0.500 0.750 0.717
Hf24 0.767 0.000 0.750
Hf25 0.767 0.250 0.467
Hf26 0.767 0.250 0.967
Hf27 0.767 0.499 0.750
Hf28 0.767 0.500 0.250
Hf29 0.767 0.749 0.967
Hf30 0.767 0.750 0.466
Hf31 0.768 0.000 0.250
Zr1 0.000 0.750 0.718
O1 0.098 0.069 0.167
O2 0.098 0.069 0.667
O3 0.098 0.318 0.549
O4 0.098 0.319 0.050
O5 0.098 0.566 0.666
O6 0.098 0.569 0.166
O7 0.098 0.819 0.049
O8 0.099 0.820 0.548
O9 0.168 0.570 0.916
O10 0.169 0.069 0.416
O11 0.169 0.069 0.917
O12 0.169 0.319 0.800
O13 0.169 0.320 0.300
O14 0.169 0.569 0.417
O15 0.170 0.819 0.299
O16 0.172 0.820 0.800
O17 0.363 0.124 0.101
O18 0.363 0.125 0.600
O19 0.363 0.374 0.116
O20 0.363 0.374 0.616
O21 0.363 0.624 0.101
O22 0.363 0.625 0.601
O23 0.363 0.874 0.116
O24 0.363 0.875 0.616
O25 0.404 0.124 0.350
O26 0.404 0.125 0.851
O27 0.404 0.374 0.366
O28 0.404 0.375 0.866
O29 0.404 0.624 0.350
O30 0.404 0.625 0.851
O31 0.404 0.874 0.366
O32 0.405 0.875 0.866
O33 0.598 0.069 0.167
O34 0.598 0.069 0.667
O35 0.598 0.319 0.050
O36 0.598 0.319 0.550
O37 0.598 0.569 0.167
O38 0.598 0.569 0.667
O39 0.598 0.819 0.050
O40 0.598 0.819 0.549
O41 0.668 0.569 0.917
O42 0.669 0.069 0.417
O43 0.669 0.070 0.917
O44 0.669 0.319 0.300
O45 0.669 0.319 0.800
O46 0.669 0.569 0.416
O47 0.669 0.819 0.300
O48 0.669 0.819 0.799
O49 0.862 0.623 0.599
O50 0.862 0.875 0.615
O51 0.863 0.124 0.101
O52 0.863 0.124 0.601
O53 0.863 0.374 0.116
O54 0.863 0.374 0.616
O55 0.863 0.624 0.101
O56 0.863 0.874 0.116
O57 0.902 0.623 0.851
O58 0.903 0.875 0.867
O59 0.904 0.124 0.350
O60 0.904 0.124 0.850
O61 0.904 0.374 0.366
O62 0.904 0.374 0.866
O63 0.904 0.624 0.350
O64 0.904 0.874 0.366
```

***

[5]
## HfZrO4 (GGA-PBE)

Data for a relaxed HfZrO4 crystal.

Results
Final energy: -9.788 eV/atom

Cell and atoms, written as CIF:
```
data_HfZrO4
_chemical_formula_sum 'Hf2 Zr2 O8'
_space_group_name_H-M_alt 'P 1'
_space_group_IT_number 1
_space_group_name_Hall 'P 1'
_cell_length_a 6.313
_cell_length_b 6.313
_cell_length_c 6.313
_cell_angle_alpha 132.61
_cell_angle_beta 132.61
_cell_angle_gamma 69.27
loop_
_atom_site_label
_atom_site_fract_x
_atom_site_fract_y
_atom_site_fract_z
Hf1 0.375 0.125 0.250
Hf2 0.625 0.875 0.750
Zr1 0.125 0.375 0.750
Zr2 0.875 0.625 0.250
O1 0.035 0.774 0.761
O2 0.226 0.465 0.239
O3 0.274 0.014 0.739
O4 0.486 0.726 0.261
O5 0.514 0.274 0.739
O6 0.726 0.986 0.261
O7 0.774 0.535 0.761
O8 0.965 0.226 0.239
```

***

[6]
## Hf31ZrO64 (GGA-PBE)

Data for a relaxed Hf31ZrO64 crystal.

Results
Distance to the lowest polymorph of the same formula: 0.023 eV/atom

Cell and atoms, written as CIF:
```
data_Hf31ZrO64
_chemical_formula_sum 'Hf31 Zr1 O64'
_space_group_name_H-M_alt 'P 1'
_space_group_IT_number 1
_space_group_name_Hall 'P 1'
_cell_length_a 9.980
_cell_length_b 10.084
_cell_length_c 10.428
_cell_angle_alpha 89.99
_cell_angle_beta 89.99
_cell_angle_gamma 89.98
loop_
_atom_site_label
_atom_site_fract_x
_atom_site_fract_y
_atom_site_fract_z
Hf1 0.000 0.000 0.000
Hf2 0.000 0.000 0.500
Hf3 0.000 0.250 0.285
Hf4 0.000 0.250 0.786
Hf5 0.000 0.499 0.000
Hf6 0.000 0.500 0.500
Hf7 0.000 0.750 0.286
Hf8 0.000 0.750 0.785
Hf9 0.269 0.000 0.250
Hf10 0.269 0.000 0.750
Hf11 0.269 0.250 0.036
Hf12 0.269 0.250 0.535
Hf13 0.269 0.500 0.250
Hf14 0.269 0.500 0.750
Hf15 0.269 0.750 0.035
Hf16 0.269 0.750 0.535
Hf17 0.499 0.504 0.000
Hf18 0.499 0.754 0.286
Hf19 0.499 0.754 0.785
Hf20 0.500 0.004 0.000
Hf21 0.500 0.004 0.500
Hf22 0.500 0.254 0.286
Hf23 0.500 0.254 0.785
Hf24 0.500 0.504 0.500
Hf25 0.769 0.254 0.035
Hf26 0.769 0.254 0.536
Hf27 0.769 0.504 0.250
Hf28 0.769 0.504 0.750
Hf29 0.769 0.754 0.536
Hf30 0.770 0.004 0.750
Hf31 0.770 0.005 0.251
Zr1 0.769 0.754 0.035
O1 0.094 0.063 0.330
O2 0.094 0.313 0.455
O3 0.094 0.313 0.955
O4 0.095 0.064 0.830
O5 0.095 0.563 0.331
O6 0.095 0.563 0.830
O7 0.095 0.813 0.455
O8 0.095 0.813 0.955
O9 0.175 0.063 0.080
O10 0.175 0.063 0.580
O11 0.175 0.313 0.205
O12 0.175 0.313 0.705
O13 0.175 0.563 0.080
O14 0.175 0.563 0.580
O15 0.175 0.813 0.205
O16 0.175 0.813 0.705
O17 0.360 0.628 0.887
O18 0.361 0.128 0.387
O19 0.361 0.128 0.887
O20 0.361 0.378 0.399
O21 0.361 0.378 0.898
O22 0.361 0.628 0.387
O23 0.361 0.878 0.399
O24 0.361 0.878 0.898
O25 0.408 0.126 0.149
O26 0.408 0.126 0.649
O27 0.408 0.375 0.137
O28 0.408 0.376 0.637
O29 0.408 0.625 0.149
O30 0.408 0.625 0.648
O31 0.408 0.876 0.137
O32 0.408 0.876 0.637
O33 0.591 0.690 0.956
O34 0.594 0.191 0.455
O35 0.594 0.191 0.955
O36 0.594 0.441 0.331
O37 0.594 0.441 0.830
O38 0.594 0.691 0.456
O39 0.595 0.940 0.831
O40 0.595 0.941 0.330
O41 0.674 0.690 0.208
O42 0.675 0.191 0.705
O43 0.675 0.192 0.206
O44 0.675 0.441 0.580
O45 0.675 0.442 0.080
O46 0.675 0.691 0.706
O47 0.675 0.941 0.581
O48 0.675 0.944 0.081
O49 0.861 0.126 0.399
O50 0.861 0.126 0.899
O51 0.861 0.376 0.387
O52 0.861 0.376 0.887
O53 0.861 0.626 0.399
O54 0.861 0.876 0.387
O55 0.862 0.625 0.897
O56 0.863 0.877 0.885
O57 0.908 0.128 0.637
O58 0.908 0.129 0.137
O59 0.908 0.378 0.148
O60 0.908 0.378 0.648
O61 0.908 0.628 0.637
O62 0.908 0.878 0.648
O63 0.909 0.628 0.138
O64 0.909 0.880 0.150
```

***

These records have total magnetic moment values of 1.9; 2.0; 0.0; 0.0; 0.0; 0.0 μB/f.u., in the order they appear.
These records have density values of 10.428; 10.490; 7.966; 10.450; 8.287; 10.520 g/cm³, in the order they appear.